(1)
AgPRuS2 | GGA-PBE | relaxed

a b c (Å): 4.717 4.717 4.655
angles (deg): 90.00 90.00 90.00
Fractional coordinates of all 5 atoms:
Ag (0.000, 0.000, 0.000)
P (0.000, 0.000, 0.500)
Ru (0.500, 0.500, 0.500)
S (0.000, 0.500, 0.000)
S (0.500, 0.000, 0.000)

Results
For the energy above the lowest structure with this stoichiometry, the calculation gives 981.6 meV/atom. Its symmetry is No. 123. For the raw formation energy, the calculation gives 1.560 eV/atom. For the electronic total energy, the calculation gives -3.5983 eV/atom.



(2)
KPtW2 | GGA-PBE | relaxed

a b c (Å): 5.933 5.933 2.699
angles (deg): 99.81 99.81 124.08
Fractional coordinates of all 4 atoms:
K (0.000, 0.000, 0.000)
Pt (0.500, 0.500, 0.000)
W (0.000, 0.500, 0.500)
W (0.500, 0.000, 0.500)

Results
For the energy above the lowest structure with this stoichiometry, the calculation gives 630.9 meV/atom. Its symmetry is No. 12. For the electronic total energy, the calculation gives -7.1173 eV/atom. The value obtained for the energy relative to the elements is 1.144 eV per atom.



(3)
ThAl2Ir | GGA-PBE | relaxed

a b c (Å): 15.736 7.215 5.652
angles (deg): 90.00 90.00 90.00
Fractional coordinates of all 32 atoms:
Th (0.104, 0.250, 0.244)
Th (0.141, 0.750, 0.031)
Th (0.359, 0.250, 0.531)
Th (0.396, 0.750, 0.744)
Th (0.604, 0.250, 0.256)
Th (0.641, 0.750, 0.469)
Th (0.859, 0.250, 0.969)
Th (0.896, 0.750, 0.756)
Al (0.041, 0.059, 0.731)
Al (0.041, 0.441, 0.731)
Al (0.211, 0.558, 0.534)
Al (0.211, 0.942, 0.534)
Al (0.289, 0.058, 0.034)
Al (0.289, 0.442, 0.034)
Al (0.459, 0.559, 0.231)
Al (0.459, 0.941, 0.231)
Al (0.541, 0.059, 0.769)
Al (0.541, 0.441, 0.769)
Al (0.711, 0.558, 0.966)
Al (0.711, 0.942, 0.966)
Al (0.789, 0.058, 0.466)
Al (0.789, 0.442, 0.466)
Al (0.959, 0.559, 0.269)
Al (0.959, 0.941, 0.269)
Ir (0.070, 0.750, 0.511)
Ir (0.182, 0.250, 0.764)
Ir (0.318, 0.750, 0.264)
Ir (0.430, 0.250, 0.011)
Ir (0.570, 0.750, 0.989)
Ir (0.682, 0.250, 0.736)
Ir (0.818, 0.750, 0.236)
Ir (0.930, 0.250, 0.489)

Results
Its symmetry is No. 62. For the electronic total energy, the calculation gives -6.7183 eV/atom. The value obtained for the energy relative to the elements is -0.777 eV per atom.



(4)
MgH2PtSe | GGA-PBE | relaxed

a b c (Å): 3.603 3.603 5.651
angles (deg): 90.00 90.00 90.00
Fractional coordinates of all 5 atoms:
Mg (0.000, 0.000, 0.000)
H (0.000, 0.500, 0.500)
H (0.500, 0.000, 0.500)
Pt (0.000, 0.000, 0.500)
Se (0.500, 0.500, 0.000)

Results
Its symmetry is No. 123. For the electronic total energy, the calculation gives -3.6708 eV/atom.



(5)
Cs2CdH6Ir | GGA-PBE | relaxed

a b c (Å): 6.573 6.573 5.298
angles (deg): 90.00 90.00 120.00
Fractional coordinates of all 10 atoms:
Cs (0.333, 0.667, 0.217)
Cs (0.667, 0.333, 0.783)
Cd (0.000, 0.000, 0.500)
H (0.128, 0.255, 0.828)
H (0.128, 0.872, 0.828)
H (0.255, 0.128, 0.172)
H (0.745, 0.872, 0.828)
H (0.872, 0.128, 0.172)
H (0.872, 0.745, 0.172)
Ir (0.000, 0.000, 0.000)

Results
Its symmetry is No. 164. For the electronic total energy, the calculation gives -3.3456 eV/atom.



(6)
NiPRu2 | GGA-PBE | relaxed

a b c (Å): 4.184 4.184 4.184
angles (deg): 60.00 60.00 60.00
Fractional coordinates of all 4 atoms:
Ni (0.000, 0.000, 0.000)
P (0.250, 0.250, 0.250)
Ru (0.500, 0.500, 0.500)
Ru (0.750, 0.750, 0.750)

Results
Its symmetry is No. 216. For the electronic total energy, the calculation gives -7.2040 eV/atom. The value obtained for the energy relative to the elements is 0.232 eV per atom.



(7)
Pa3GaCu | GGA-PBE | relaxed

a b c (Å): 7.484 7.484 7.484
angles (deg): 90.00 90.00 90.00
Fractional coordinates of all 20 atoms:
Pa (0.038, 0.126, 0.788)
Pa (0.126, 0.788, 0.038)
Pa (0.212, 0.538, 0.374)
Pa (0.288, 0.462, 0.874)
Pa (0.374, 0.212, 0.538)
Pa (0.462, 0.874, 0.288)
Pa (0.538, 0.374, 0.212)
Pa (0.626, 0.712, 0.962)
Pa (0.712, 0.962, 0.626)
Pa (0.788, 0.038, 0.126)
Pa (0.874, 0.288, 0.462)
Pa (0.962, 0.626, 0.712)
Ga (0.177, 0.177, 0.177)
Ga (0.323, 0.823, 0.677)
Ga (0.677, 0.323, 0.823)
Ga (0.823, 0.677, 0.323)
Cu (0.075, 0.925, 0.425)
Cu (0.425, 0.075, 0.925)
Cu (0.575, 0.575, 0.575)
Cu (0.925, 0.425, 0.075)

Results
Its symmetry is No. 198. For the electronic total energy, the calculation gives -7.1361 eV/atom. The value obtained for the energy relative to the elements is -0.014 eV per atom.



(8)
Y3NbPt | GGA-PBE | relaxed

a b c (Å): 5.261 5.261 5.261
angles (deg): 90.00 90.00 90.00
Fractional coordinates of all 5 atoms:
Y (0.000, 0.000, 0.500)
Y (0.000, 0.500, 0.000)
Y (0.500, 0.000, 0.000)
Nb (0.000, 0.000, 0.000)
Pt (0.500, 0.500, 0.500)

Results
For the energy above the lowest structure with this stoichiometry, the calculation gives 417.9 meV/atom. Its symmetry is No. 221. For the electronic total energy, the calculation gives -6.5165 eV/atom. The value obtained for the energy relative to the elements is 0.584 eV per atom.



(9)
NpSnBi | GGA-PBE | relaxed

a b c (Å): 5.204 5.204 5.204
angles (deg): 60.00 60.00 60.00
Fractional coordinates of all 3 atoms:
Np (0.000, 0.000, 0.000)
Sn (0.250, 0.250, 0.250)
Bi (0.750, 0.750, 0.750)

Results
For the energy above the lowest structure with this stoichiometry, the calculation gives 357.4 meV/atom. Its symmetry is No. 216. For the electronic total energy, the calculation gives -6.6091 eV/atom. The value obtained for the energy relative to the elements is 0.332 eV per atom.



(10)
LiHoLuCd | GGA-PBE | relaxed

a b c (Å): 5.199 5.199 5.199
angles (deg): 60.00 60.00 60.00
Fractional coordinates of all 4 atoms:
Li (0.000, 0.000, 0.000)
Ho (0.250, 0.250, 0.250)
Lu (0.750, 0.750, 0.750)
Cd (0.500, 0.500, 0.500)

Results
Its symmetry is No. 216. For the electronic total energy, the calculation gives -3.0904 eV/atom. The value obtained for the energy relative to the elements is -0.109 eV per atom.



(11)
MnReRh2 | GGA-PBE | relaxed

a b c (Å): 8.831 8.831 8.831
angles (deg): 17.72 17.72 17.72
Fractional coordinates of all 4 atoms:
Mn (0.000, 0.000, 0.000)
Re (0.750, 0.750, 0.750)
Rh (0.256, 0.256, 0.256)
Rh (0.500, 0.500, 0.500)

Results
For the energy above the lowest structure with this stoichiometry, the calculation gives 141.8 meV/atom. Its symmetry is No. 160. For the electronic total energy, the calculation gives -9.0438 eV/atom. The value obtained for the energy relative to the elements is 0.036 eV per atom.



(12)
La2TlW | GGA-PBE | relaxed

a b c (Å): 5.829 5.829 3.243
angles (deg): 90.07 90.07 105.68
Fractional coordinates of all 4 atoms:
La (0.000, 0.500, 0.000)
La (0.500, 0.000, 0.000)
Tl (0.000, 0.000, 0.500)
W (0.500, 0.500, 0.500)

Results
For the energy above the lowest structure with this stoichiometry, the calculation gives 140.3 meV/atom. Its symmetry is No. 12. For the electronic total energy, the calculation gives -5.8703 eV/atom. The value obtained for the energy relative to the elements is 0.423 eV per atom.



(13)
PmNd3SmDy | GGA-PBE | relaxed

a b c (Å): 10.688 10.688 6.886
angles (deg): 90.37 90.37 31.76
Fractional coordinates of all 12 atoms:
Pm (0.146, 0.146, 0.023)
Pm (0.854, 0.854, 0.977)
Nd (0.018, 0.018, 0.748)
Nd (0.281, 0.281, 0.746)
Nd (0.339, 0.339, 0.254)
Nd (0.661, 0.661, 0.746)
Nd (0.719, 0.719, 0.254)
Nd (0.982, 0.982, 0.252)
Sm (0.443, 0.443, 0.743)
Sm (0.557, 0.557, 0.257)
Dy (0.146, 0.146, 0.473)
Dy (0.854, 0.854, 0.527)

Results
Its symmetry is No. 12. For the electronic total energy, the calculation gives -4.5603 eV/atom. The value obtained for the energy relative to the elements is 0.169 eV per atom.



(14)
La4PmPt | GGA-PBE | relaxed

a b c (Å): 9.704 9.704 6.350
angles (deg): 109.07 109.07 46.74
Fractional coordinates of all 12 atoms:
La (0.128, 0.637, 0.380)
La (0.202, 0.798, 0.000)
La (0.326, 0.326, 0.825)
La (0.363, 0.872, 0.620)
La (0.637, 0.128, 0.380)
La (0.674, 0.674, 0.175)
La (0.798, 0.202, 0.000)
La (0.872, 0.363, 0.620)
Pm (0.197, 0.197, 0.195)
Pm (0.803, 0.803, 0.805)
Pt (0.498, 0.498, 0.718)
Pt (0.502, 0.502, 0.282)

Results
Its symmetry is No. 12. For the electronic total energy, the calculation gives -5.3995 eV/atom. The value obtained for the energy relative to the elements is -0.316 eV per atom.



(15)
TlPd2Au6 | GGA-PBE | relaxed

a b c (Å): 7.353 7.353 7.700
angles (deg): 115.88 115.88 88.17
Fractional coordinates of all 18 atoms:
Tl (0.165, 0.835, 0.750)
Tl (0.835, 0.165, 0.250)
Pd (0.215, 0.427, 0.574)
Pd (0.427, 0.215, 0.074)
Pd (0.573, 0.785, 0.926)
Pd (0.785, 0.573, 0.426)
Au (0.007, 0.214, 0.697)
Au (0.087, 0.368, 0.137)
Au (0.214, 0.007, 0.197)
Au (0.327, 0.572, 0.025)
Au (0.368, 0.087, 0.637)
Au (0.428, 0.673, 0.475)
Au (0.572, 0.327, 0.525)
Au (0.632, 0.913, 0.363)
Au (0.673, 0.428, 0.975)
Au (0.786, 0.993, 0.803)
Au (0.913, 0.632, 0.863)
Au (0.993, 0.786, 0.303)

Results
Its symmetry is No. 15. For the electronic total energy, the calculation gives -3.6174 eV/atom. The value obtained for the energy relative to the elements is -0.016 eV per atom.



(16)
Ca4MgBr | GGA-PBE | relaxed

a b c (Å): 7.011 7.011 7.011
angles (deg): 60.00 60.00 60.00
Fractional coordinates of all 6 atoms:
Ca (0.124, 0.124, 0.124)
Ca (0.124, 0.124, 0.628)
Ca (0.124, 0.628, 0.124)
Ca (0.628, 0.124, 0.124)
Mg (0.750, 0.750, 0.750)
Br (0.500, 0.500, 0.500)

Results
Its symmetry is No. 216. For the raw formation energy, the calculation gives 0.081 eV/atom. For the electronic total energy, the calculation gives -1.7979 eV/atom.



(17)
OsPbCl2 | GGA-PBE | relaxed

a b c (Å): 5.373 5.373 3.137
angles (deg): 90.00 90.00 105.81
Fractional coordinates of all 4 atoms:
Os (0.000, 0.000, 0.000)
Pb (0.500, 0.500, 0.000)
Cl (0.000, 0.500, 0.500)
Cl (0.500, 0.000, 0.500)

Results
For the energy above the lowest structure with this stoichiometry, the calculation gives 776.7 meV/atom. Its symmetry is No. 65. For the raw formation energy, the calculation gives 0.888 eV/atom. For the electronic total energy, the calculation gives -3.7696 eV/atom.



(18)
NiHPt2 | GGA-PBE | relaxed

a b c (Å): 4.995 4.995 4.995
angles (deg): 105.70 105.70 117.30
Fractional coordinates of all 8 atoms:
Ni (0.000, 0.000, 0.000)
Ni (0.750, 0.250, 0.500)
H (0.250, 0.750, 0.500)
H (0.500, 0.500, 0.000)
Pt (0.215, 0.125, 0.590)
Pt (0.375, 0.785, 0.910)
Pt (0.535, 0.625, 0.410)
Pt (0.875, 0.465, 0.090)

Results
For the energy above the lowest structure with this stoichiometry, the calculation gives 169.0 meV/atom. Its symmetry is No. 122. For the electronic total energy, the calculation gives -5.1742 eV/atom.



(19)
La2TbEr | GGA-PBE | relaxed

a b c (Å): 6.204 6.204 3.708
angles (deg): 90.00 90.00 107.01
Fractional coordinates of all 4 atoms:
La (0.000, 0.500, 0.000)
La (0.500, 0.000, 0.000)
Tb (0.000, 0.000, 0.500)
Er (0.500, 0.500, 0.500)

Results
For the energy above the lowest structure with this stoichiometry, the calculation gives 3.5 meV/atom. Its symmetry is No. 65. For the electronic total energy, the calculation gives -4.7367 eV/atom. The value obtained for the energy relative to the elements is 0.025 eV per atom.



(20)
TmSbAu | GGA-PBE | relaxed

a b c (Å): 5.346 5.346 5.346
angles (deg): 136.20 136.20 63.68
Fractional coordinates of all 3 atoms:
Tm (0.000, 0.000, 0.000)
Sb (0.341, 0.341, 0.000)
Au (0.665, 0.665, 0.000)

Results
Its symmetry is No. 107. For the raw formation energy, the calculation gives -0.577 eV/atom. For the electronic total energy, the calculation gives -4.5340 eV/atom.